No. 1
Density functional theory data (PBE-GGA) for crystalline BeSiGe2 at its relaxed geometry.

Computed properties:
Its space group is No. 225. The calculation puts the formation energy (no corrections) at 578 meV per atom. The energy relative to the lowest polymorph listed for this composition comes out at 0.207 eV per atom.

a b c (Å): 4.457 4.457 4.457
angles (deg): 60.00 60.00 60.00
Positions (direct):
Ge: 0.750 0.750 0.750
Ge: 0.250 0.250 0.250
Si: 0.500 0.500 0.500
Be: 0.000 0.000 0.000

No. 2
Density functional theory data (PBE-GGA) for crystalline BeSiGe3 at its relaxed geometry.

Computed properties:
Its space group is No. 221. The calculation puts the formation energy (no corrections) at 1035 meV per atom. The energy relative to the lowest polymorph listed for this composition comes out at 0.388 eV per atom.

a b c (Å): 4.738 4.738 4.738
angles (deg): 90.00 90.00 90.00
Positions (direct):
Be: 0.500 0.500 0.500
Ge: 0.500 0.000 0.000
Ge: 0.000 0.500 0.000
Ge: 0.000 0.000 0.500
Si: 0.000 0.000 0.000

No. 3
Density functional theory data (PBE-GGA) for crystalline BeSiGe3 at its relaxed geometry.

Computed properties:
Its space group is No. 221. The calculation puts the formation energy (no corrections) at 648 meV per atom. The energy relative to the lowest polymorph listed for this composition comes out at 0.000 eV per atom.

a b c (Å): 4.487 4.487 4.487
angles (deg): 90.00 90.00 90.00
Positions (direct):
Ge: 0.000 0.000 0.500
Ge: 0.000 0.500 0.000
Ge: 0.500 0.000 0.000
Be: 0.000 0.000 0.000
Si: 0.500 0.500 0.500

Among the records above, which one has the highest energy relative to the lowest polymorph listed for this composition? number 2